[1]
ScGaI3 (PBE, optimized geometry); E above lowest polymorph = 591 meV/atom; E_form (uncorrected) = 0.03 eV per formula unit
1.0
5.7293 0.0000 0.0000
0.0000 5.7293 0.0000
0.0000 0.0000 5.7293
Sc Ga I
1 1 3
direct
0.0000 0.0000 0.0000 Sc
0.5000 0.5000 0.5000 Ga
0.0000 0.5000 0.5000 I
0.5000 0.0000 0.5000 I
0.5000 0.5000 0.0000 I

[2]
Material: Ce3In7Rh4
Method: DFT, PBE
State: optimized geometry

```
Ce3In7Rh4
1.0
4.5876 0.0000 0.0000
2.2808 8.0058 0.0000
2.2916 3.0280 8.5674
Ce In Rh
3 7 4
direct
0.0000 0.0000 0.0000 Ce
0.3079 0.6843 0.6998 Ce
0.6921 0.3157 0.3002 Ce
0.0000 0.5000 0.5000 In
0.1568 0.1095 0.5754 In
0.3100 0.3479 0.0324 In
0.4919 0.7321 0.2845 In
0.5081 0.2679 0.7155 In
0.6900 0.6521 0.9676 In
0.8432 0.8905 0.4246 In
0.0997 0.6631 0.1371 Rh
0.3235 0.0663 0.2891 Rh
0.6765 0.9337 0.7109 Rh
0.9003 0.3369 0.8629 Rh
```

[3]
Material: Ba2GaNiH
Method: DFT, PBE
State: optimized geometry

```
Ba2GaNiH
1.0
5.7398 0.0000 0.0000
0.0000 5.7398 0.0000
0.0000 0.0000 3.7312
Ba Ga Ni H
2 1 1 1
direct
0.0000 0.5000 0.0000 Ba
0.5000 0.0000 0.0000 Ba
0.0000 0.0000 0.5000 Ga
0.5000 0.5000 0.5000 Ni
0.5000 0.5000 0.0000 H
```

[4]
Material: PmPt2Au8
Method: DFT, PBE
State: optimized geometry

```
PmPt2Au8
1.0
4.3167 -5.9327 0.0000
4.3167 5.9327 0.0000
0.0000 0.0000 4.2327
Pm Pt Au
1 2 8
direct
0.0000 0.0000 0.0000 Pm
0.3868 0.6132 0.5000 Pt
0.6132 0.3868 0.5000 Pt
0.0372 0.3143 0.5000 Au
0.2487 0.7513 0.0000 Au
0.3143 0.0372 0.5000 Au
0.3348 0.3348 0.0000 Au
0.6652 0.6652 0.0000 Au
0.6857 0.9628 0.5000 Au
0.7513 0.2487 0.0000 Au
0.9628 0.6857 0.5000 Au
```

[5]
FeMoSN2 (PBE, optimized geometry); E above lowest polymorph = 0 meV/atom; E_form (uncorrected) = 3.03 eV per formula unit
1.0
3.8485 0.0000 0.0000
0.0000 3.8485 0.0000
0.0000 0.0000 5.0595
Fe Mo S N
1 1 1 2
direct
0.0000 0.0000 0.0000 Fe
0.5000 0.5000 0.5000 Mo
0.5000 0.5000 0.0000 S
0.0000 0.5000 0.5000 N
0.5000 0.0000 0.5000 N

[6]
SrTlTc2O8 (PBE, optimized geometry); E_form (uncorrected) = -20.05 eV per formula unit
1.0
4.9508 -3.1605 0.0000
4.9508 3.1605 0.0000
-0.0882 0.0000 8.3957
Sr Tl Tc O
1 1 2 8
direct
0.0000 0.0000 0.0000 Sr
0.0000 0.0000 0.5000 Tl
0.3609 0.3609 0.7580 Tc
0.6391 0.6391 0.2420 Tc
0.2291 0.6929 0.7811 O
0.2354 0.2354 0.9048 O
0.2871 0.2871 0.5685 O
0.3071 0.7709 0.2189 O
0.6929 0.2291 0.7811 O
0.7129 0.7129 0.4315 O
0.7646 0.7646 0.0952 O
0.7709 0.3071 0.2189 O

[7]
Na3Tm2NpSe6 (PBE, optimized geometry); E_form (uncorrected) = -18.20 eV per formula unit
1.0
3.5894 -6.2072 0.0000
3.5894 6.2072 0.0000
-2.3849 0.0000 6.9972
Na Tm Np Se
3 2 1 6
direct
0.0000 0.0000 0.0000 Na
0.3336 0.6664 0.0000 Na
0.6664 0.3336 0.0000 Na
0.1660 0.8340 0.5000 Tm
0.8340 0.1660 0.5000 Tm
0.5000 0.5000 0.5000 Np
0.0831 0.4235 0.2717 Se
0.2357 0.2357 0.7295 Se
0.4235 0.0831 0.2717 Se
0.5765 0.9169 0.7283 Se
0.7643 0.7643 0.2705 Se
0.9169 0.5765 0.7283 Se

[8]
Nd3PtSCl (PBE, optimized geometry); E_form (uncorrected) = -7.77 eV per formula unit
1.0
8.4044 0.0000 0.0000
0.0000 4.0778 0.0000
-2.1599 0.0000 9.2286
Nd Pt S Cl
6 2 2 2
direct
0.0758 0.2500 0.3376 Nd
0.2232 0.2500 0.9978 Nd
0.4027 0.7500 0.6103 Nd
0.5973 0.2500 0.3897 Nd
0.7768 0.7500 0.0022 Nd
0.9242 0.7500 0.6624 Nd
0.1664 0.2500 0.6552 Pt
0.8336 0.7500 0.3448 Pt
0.3160 0.7500 0.2680 S
0.6839 0.2500 0.7320 S
0.4048 0.7500 0.8993 Cl
0.5952 0.2500 0.1007 Cl

[9]
Tm8CuIr2 (PBE, optimized geometry); E above lowest polymorph = 71 meV/atom
1.0
4.2105 -6.2262 0.0000
4.2105 6.2262 0.0000
-1.6442 0.0000 5.4527
Tm Cu Ir
8 1 2
direct
0.0000 0.0000 0.0000 Tm
0.0284 0.2909 0.5963 Tm
0.1390 0.5944 0.1880 Tm
0.2909 0.0284 0.5963 Tm
0.4366 0.6994 0.7922 Tm
0.5944 0.1390 0.1880 Tm
0.6994 0.4366 0.7922 Tm
0.7337 0.7337 0.3780 Tm
0.3667 0.3667 0.0457 Cu
0.0513 0.6758 0.6913 Ir
0.6758 0.0513 0.6913 Ir

[10]
Material: Mg2AgRu
Method: DFT, PBE
State: optimized geometry

```
Mg2AgRu
1.0
-3.5717 3.5717 2.8604
3.5717 -3.5717 2.8604
3.5717 3.5717 -2.8604
Mg Ag Ru
4 2 2
direct
0.1220 0.6250 0.9970 Mg
0.3750 0.3720 0.4970 Mg
0.6280 0.1250 0.0030 Mg
0.8750 0.8780 0.5030 Mg
0.2500 0.7500 0.5000 Ag
0.5000 0.5000 0.0000 Ag
0.0000 0.0000 0.0000 Ru
0.7500 0.2500 0.5000 Ru
```

[11]
TeIrRh2 (PBE, optimized geometry); E_form (uncorrected) = 0.77 eV per formula unit
1.0
-2.0434 2.0434 3.8399
2.0434 -2.0434 3.8399
2.0434 2.0434 -3.8399
Te Ir Rh
1 1 2
direct
0.0000 0.0000 0.0000 Te
0.2500 0.7500 0.5000 Ir
0.5000 0.5000 0.0000 Rh
0.7500 0.2500 0.5000 Rh

[12]
Cd2CoNi (PBE, optimized geometry); E above lowest polymorph = 152 meV/atom
1.0
1.4398 0.8313 8.7969
-1.4398 0.8313 8.7969
0.0000 -1.6625 8.7969
Cd Co Ni
2 1 1
direct
0.2489 0.2489 0.2489 Cd
0.7511 0.7511 0.7511 Cd
0.0000 0.0000 0.0000 Co
0.5000 0.5000 0.5000 Ni

| no. | calculated total energy (eV per atom) |
| --- | --- |
| 1 | -2.796 |
| 2 | -5.260 |
| 3 | -3.336 |
| 4 | -4.078 |
| 5 | -7.409 |
| 6 | -7.041 |
| 7 | -5.413 |
| 8 | -5.681 |
| 9 | -5.607 |
| 10 | -3.465 |
| 11 | -6.484 |
| 12 | -3.370 |